[1]
Material: CsH2BrF
Method: DFT, PBE
State: relaxed

It has space group Cm (No. 8), with a = 11.377 Å, b = 4.388 Å, c = 4.360 Å, α = 90.00°, β = 91.15° and γ = 90.00°. Symmetry generates all atoms from Cs at (0.000, 0.000, 0.000), H at (0.212, 0.000, 0.512), H at (0.320, 0.000, 0.496), Br at (0.206, 0.500, 0.514) and F at (0.412, 0.000, 0.486).

The value obtained for the density of states at the Fermi level is 0.2829 states/eV/atom. The energy above the most stable polymorph in this dataset is 0.00 eV/f.u.

***

[2]
Material: La2Tb5Nd2
Method: DFT, PBE
State: relaxed

It has space group Ima2 (No. 46), with a = 15.111 Å, b = 12.070 Å, c = 6.798 Å, α = 90.00°, β = 90.00° and γ = 90.00°. Symmetry generates all atoms from La at (0.127, 0.003, 0.000), Tb at (0.053, 0.746, 0.858), Tb at (0.143, 0.231, 0.673), Tb at (0.250, 0.738, 0.648), Nd at (0.000, 0.000, 0.539) and Nd at (0.250, 0.006, 0.462).

Its formation energy is 1.7 eV/f.u. The value obtained for the density of states at the Fermi level is 1.6635 states/eV/atom. The energy above the most stable polymorph in this dataset is 0.45 eV/f.u.

***

[3]
Material: Tb2P3Rh12Au
Method: DFT, PBE
State: relaxed

It has space group R-3m (No. 166, hexagonal axes), with a = 8.8971 Å, b = 8.8971 Å, c = 12.9217 Å, α = 90.00°, β = 90.00° and γ = 120.00°. Symmetry generates all atoms from Tb at (0.0000, 0.0000, 0.1240), P at (0.0000, 0.5000, 0.0000), Rh at (0.0082, 0.5041, 0.8291), Rh at (0.0266, 0.5133, 0.3808) and Au at (0.0000, 0.0000, 0.5000).

Its formation energy is -3.6 eV/f.u. The value obtained for the density of states at the Fermi level is 1.0219 states/eV/atom.

***

[4]
Material: Mn4VSe5
Method: DFT, PBE
State: relaxed

It has space group R-3m (No. 166, hexagonal axes), with a = 3.7940 Å, b = 3.7940 Å, c = 46.9298 Å, α = 90.00°, β = 90.00° and γ = 120.00°. Symmetry generates all atoms from Mn at (0.0000, 0.0000, 0.0998), Mn at (0.0000, 0.0000, 0.2999), V at (0.0000, 0.0000, 0.5000), Se at (0.0000, 0.0000, 0.0000), Se at (0.0000, 0.0000, 0.1988) and Se at (0.0000, 0.0000, 0.4006).

The value obtained for the formation energy from raw total energies is -0.385 eV/atom. The value obtained for the density of states at the Fermi level is 0.7107 states/eV/atom.

***

[5]
Material: TbDy6Tl4
Method: DFT, PBE
State: relaxed

It has space group I-42m (No. 121), with a = 6.344 Å, b = 6.344 Å, c = 16.891 Å, α = 90.00°, β = 90.00° and γ = 90.00°. Symmetry generates all atoms from Tb at (0.000, 0.000, 0.000), Dy at (0.000, 0.500, 0.000), Dy at (0.235, 0.235, 0.319) and Tl at (0.242, 0.242, 0.135).

Its formation energy is -1.4 eV/f.u. The value obtained for the density of states at the Fermi level is 0.9832 states/eV/atom.

***

[6]
Material: La3Dy2PuN6
Method: DFT, PBE
State: relaxed

It has space group C2/m (No. 12), with a = 6.197 Å, b = 10.715 Å, c = 6.287 Å, α = 90.00°, β = 109.22° and γ = 90.00°. Symmetry generates all atoms from La at (0.000, 0.000, 0.000), La at (0.000, 0.332, 0.000), Dy at (0.000, 0.166, 0.500), Pu at (0.000, 0.500, 0.500), N at (0.234, 0.340, 0.723) and N at (0.246, 0.500, 0.272).

The value obtained for the formation energy from raw total energies is -1.411 eV/atom. The value obtained for the density of states at the Fermi level is 0.5650 states/eV/atom.

***

[7]
Material: Ba2CaInAs
Method: DFT, PBE
State: relaxed

It has space group P4/mmm (No. 123), with a = 6.375 Å, b = 6.375 Å, c = 5.512 Å, α = 90.00°, β = 90.00° and γ = 90.00°. Symmetry generates all atoms from Ba at (0.000, 0.500, 0.000), Ca at (0.000, 0.000, 0.500), In at (0.500, 0.500, 0.500) and As at (0.500, 0.500, 0.000).

Its formation energy is -1.4 eV/f.u. The value obtained for the density of states at the Fermi level is 0.7199 states/eV/atom. The energy above the most stable polymorph in this dataset is 0.00 eV/f.u.

***

[8]
Material: Tb3Ce2Tm6Th
Method: DFT, PBE
State: relaxed

It has space group C2/m (No. 12), with a = 6.085 Å, b = 10.538 Å, c = 11.577 Å, α = 90.00°, β = 100.10° and γ = 90.00°. Symmetry generates all atoms from Tb at (0.000, 0.000, 0.000), Tb at (0.000, 0.333, 0.000), Ce at (0.000, 0.167, 0.500), Tm at (0.249, 0.334, 0.747), Tm at (0.250, 0.000, 0.747) and Th at (0.000, 0.500, 0.500).

Its formation energy is 0.5 eV/f.u. The value obtained for the density of states at the Fermi level is 1.7153 states/eV/atom.

***

[9]
Material: RbTcHg2I8
Method: DFT, PBE
State: relaxed

It has space group P-1 (No. 2), with a = 7.412 Å, b = 8.203 Å, c = 9.730 Å, α = 68.31°, β = 84.35° and γ = 86.90°. Symmetry generates all atoms from Rb at (0.000, 0.000, 0.000), Tc at (0.000, 0.500, 0.500), Hg at (0.471, 0.504, 0.788), I at (0.082, 0.488, 0.775), I at (0.168, 0.814, 0.371), I at (0.316, 0.317, 0.474) and I at (0.456, 0.778, 0.944).

The value obtained for the formation energy from raw total energies is -0.383 eV/atom. The value obtained for the density of states at the Fermi level is 0.1832 states/eV/atom.

***

[10]
Material: Rb4NpPa3S12
Method: DFT, PBE
State: relaxed

It has space group Im-3m (No. 229), with a = 10.516 Å, b = 10.516 Å, c = 10.516 Å, α = 90.00°, β = 90.00° and γ = 90.00°. Symmetry generates all atoms from Rb at (0.250, 0.250, 0.250), Np at (0.000, 0.000, 0.000), Pa at (0.000, 0.000, 0.500), S at (0.000, 0.000, 0.249) and S at (0.000, 0.250, 0.500).

The value obtained for the formation energy from raw total energies is -1.474 eV/atom. The value obtained for the density of states at the Fermi level is 0.4221 states/eV/atom.

***

[11]
Material: Pm8Bi3Te4Se
Method: DFT, PBE
State: relaxed

It has space group R-3m (No. 166, hexagonal axes), with a = 8.9649 Å, b = 8.9649 Å, c = 21.9580 Å, α = 90.00°, β = 90.00° and γ = 120.00°. Symmetry generates all atoms from Pm at (0.0000, 0.0000, 0.2500), Pm at (0.0148, 0.5074, 0.2464), Bi at (0.0000, 0.5000, 0.5000), Te at (0.0000, 0.0000, 0.0000), Te at (0.0000, 0.5000, 0.0000) and Se at (0.0000, 0.0000, 0.5000).

The value obtained for the formation energy from raw total energies is -1.291 eV/atom. The value obtained for the density of states at the Fermi level is 0.4582 states/eV/atom.

***

[12]
Material: TiSb3Se
Method: DFT, PBE
State: relaxed

It has space group Pm-3m (No. 221), with a = 5.223 Å, b = 5.223 Å, c = 5.223 Å, α = 90.00°, β = 90.00° and γ = 90.00°. Symmetry generates all atoms from Ti at (0.000, 0.000, 0.000), Sb at (0.000, 0.000, 0.500) and Se at (0.500, 0.500, 0.500).

The value obtained for the formation energy from raw total energies is 0.241 eV/atom. The value obtained for the density of states at the Fermi level is 1.2367 states/eV/atom. The energy above the most stable polymorph in this dataset is 0.00 eV/f.u.

***

[13]
Material: ScCd2BiO6
Method: DFT, PBE
State: relaxed

It has space group R3 (No. 146, hexagonal axes), with a = 5.6603 Å, b = 5.6603 Å, c = 14.6401 Å, α = 90.00°, β = 90.00° and γ = 120.00°. Symmetry generates all atoms from Sc at (0.0000, 0.0000, 0.0000), Cd at (0.0000, 0.0000, 0.2734), Cd at (0.0000, 0.0000, 0.7760), Bi at (0.0000, 0.0000, 0.4965), O at (0.0592, 0.7107, 0.0694) and O at (0.0608, 0.3506, 0.5700).

The value obtained for the formation energy from raw total energies is -1.598 eV/atom.

***

[14]
Material: TbMgGe2Pt2
Method: DFT, PBE
State: relaxed

It has space group P-3m1 (No. 164), with a = 4.3591 Å, b = 4.3591 Å, c = 6.7787 Å, α = 90.00°, β = 90.00° and γ = 120.00°. Symmetry generates all atoms from Tb at (0.0000, 0.0000, 0.0000), Mg at (0.0000, 0.0000, 0.5000), Ge at (0.3333, 0.6667, 0.7197) and Pt at (0.3333, 0.6667, 0.2936).

Its formation energy is -5.2 eV/f.u. The value obtained for the density of states at the Fermi level is 0.4974 states/eV/atom.

***

[15]
Material: SiSn2SbIr
Method: DFT, PBE
State: relaxed

It has space group P4/mmm (No. 123), with a = 4.985 Å, b = 4.985 Å, c = 5.088 Å, α = 90.00°, β = 90.00° and γ = 90.00°. Symmetry generates all atoms from Si at (0.000, 0.000, 0.000), Sn at (0.000, 0.500, 0.000), Sb at (0.000, 0.000, 0.500) and Ir at (0.500, 0.500, 0.500).

The value obtained for the formation energy from raw total energies is 1.095 eV/atom. The value obtained for the density of states at the Fermi level is 0.6948 states/eV/atom.

***

[16]
Material: BeFe
Method: DFT, PBE
State: relaxed

It has space group P4/mmm (No. 123), with a = 6.691 Å, b = 6.691 Å, c = 3.547 Å, α = 90.00°, β = 90.00° and γ = 90.00°. Symmetry generates all atoms from Be at (0.000, 0.312, 0.000), Be at (0.169, 0.169, 0.500), Fe at (0.159, 0.500, 0.500) and Fe at (0.329, 0.329, 0.000).

Its formation energy is 0.3 eV/f.u. The value obtained for the density of states at the Fermi level is 0.7988 states/eV/atom.

***

[17]
Material: La5PrEr2
Method: DFT, PBE
State: relaxed

It has space group Cmcm (No. 63), with a = 5.284 Å, b = 11.339 Å, c = 18.956 Å, α = 90.00°, β = 90.00° and γ = 90.00°. Symmetry generates all atoms from La at (0.000, 0.052, 0.084), La at (0.000, 0.344, 0.037), La at (0.000, 0.427, 0.250), Pr at (0.000, 0.125, 0.250) and Er at (0.000, 0.254, 0.656).

Its formation energy is 0.7 eV/f.u. The value obtained for the density of states at the Fermi level is 1.4760 states/eV/atom. The energy above the most stable polymorph in this dataset is 0.48 eV/f.u.

***

[18]
Material: AlCrH3
Method: DFT, PBE
State: relaxed

It has space group Pm-3m (No. 221), with a = 3.324 Å, b = 3.324 Å, c = 3.324 Å, α = 90.00°, β = 90.00° and γ = 90.00°. Symmetry generates all atoms from Al at (0.000, 0.000, 0.000), Cr at (0.500, 0.500, 0.500) and H at (0.000, 0.000, 0.500).

The value obtained for the density of states at the Fermi level is 0.2616 states/eV/atom. The energy above the most stable polymorph in this dataset is 3.82 eV/f.u.

***

[19]
Material: Pr3Nd8Tl
Method: DFT, PBE
State: relaxed

It has space group I-42m (No. 121), with a = 8.823 Å, b = 8.823 Å, c = 11.655 Å, α = 90.00°, β = 90.00° and γ = 90.00°. Symmetry generates all atoms from Pr at (0.000, 0.000, 0.000), Pr at (0.000, 0.500, 0.250), Nd at (0.127, 0.127, 0.248), Nd at (0.248, 0.248, 0.987) and Tl at (0.000, 0.000, 0.500).

Its formation energy is 5.1 eV/f.u. The value obtained for the density of states at the Fermi level is 1.5857 states/eV/atom.

***

[20]
Material: Mg8AgPb2
Method: DFT, PBE
State: relaxed

It has space group C2/m (No. 12), with a = 16.487 Å, b = 4.570 Å, c = 7.073 Å, α = 90.00°, β = 107.02° and γ = 90.00°. Symmetry generates all atoms from Mg at (0.037, 0.000, 0.244), Mg at (0.087, 0.500, 0.938), Mg at (0.138, 0.000, 0.681), Mg at (0.169, 0.500, 0.413), Ag at (0.000, 0.500, 0.500) and Pb at (0.214, 0.000, 0.153).

Its formation energy is -0.6 eV/f.u. The value obtained for the density of states at the Fermi level is 0.3545 states/eV/atom. The energy above the most stable polymorph in this dataset is 0.00 eV/f.u.